# Ca2CdNiO4

Crystalline Ca2CdNiO4 at its relaxed geometry (PBE with a Hubbard U, the Alexandria database).

- Uncorrected energy: -42.9 eV for the cell shown
- DOS at the Fermi energy: 0.0 states/eV/f.u.
- Total magnetization: 2.02 μB/cell

Unit cell a=3.341 b=5.784 c=5.600 alpha=109.94 beta=90.00 gamma=90.00
Last column: magnetic moment on the atom in μB.
Fractional positions:
Ca 0.500 0.000 0.500  0.01
Ca 0.000 0.500 0.500  0.00
Cd 0.000 0.000 0.000  0.00
Ni 0.500 0.500 0.000  1.77
O 0.500 0.263 0.242  0.04
O 0.500 0.737 0.758  0.04
O 0.000 0.266 0.764  0.07
O 0.000 0.734 0.236  0.07